[1]
{"formula": "FeNiAsPd", "functional": "GGA-PBE", "state": "relaxed", "lattice_angstrom": [[-2.2950, -1.9269, 2.9806], [-3.0747, 2.1077, 1.9919], [-4.0474, -0.9643, -0.7431]], "species": ["As", "Fe", "Ni", "Pd"], "fractional_positions": [[0.0000, 0.0000, 0.0000], [0.7500, 0.7500, 0.7500], [0.2500, 0.2500, 0.2500], [0.5000, 0.5000, 0.5000]], "e_tot_ry_per_atom": -0.4394}

=====

[2]
{"formula": "FeNiAsPd", "functional": "GGA-PBE", "state": "relaxed", "lattice_angstrom": [[-0.2738, -4.0705, 1.1152], [-3.7919, -1.8145, 0.4659], [-1.3269, -2.8759, -2.8029]], "species": ["As", "Fe", "Ni", "Pd"], "fractional_positions": [[0.0000, 0.0000, 0.0000], [0.7500, 0.7500, 0.7500], [0.5000, 0.5000, 0.5000], [0.2500, 0.2500, 0.2500]], "e_tot_ry_per_atom": -0.4385}

=====

[3]
{"formula": "SrFeNiAs2", "functional": "GGA-PBE", "state": "relaxed", "lattice_angstrom": [[-2.0014, 2.0014, 5.8203], [2.0014, -2.0014, 5.8203], [2.0014, 2.0014, -5.8203]], "species": ["As", "As", "Fe", "Ni", "Sr"], "fractional_positions": [[0.6062, 0.1062, 0.5000], [0.8938, 0.3938, 0.5000], [0.0000, 0.0000, 0.0000], [0.5000, 0.5000, 0.0000], [0.2500, 0.7500, 0.5000]], "e_tot_ry_per_atom": -0.4100}

=====

[4]
{"formula": "YFeNiAs", "functional": "GGA-PBE", "state": "relaxed", "lattice_angstrom": [[0.0000, 3.2208, 3.2208], [3.2208, 0.0000, 3.2208], [3.2208, 3.2208, 0.0000]], "species": ["As", "Fe", "Ni", "Y"], "fractional_positions": [[0.0000, 0.0000, 0.0000], [0.7500, 0.7500, 0.7500], [0.5000, 0.5000, 0.5000], [0.2500, 0.2500, 0.2500]], "e_tot_ry_per_atom": -0.4710}

=====

[5]
{"formula": "YFeNiAs", "functional": "GGA-PBE", "state": "relaxed", "lattice_angstrom": [[-2.0828, 1.2837, 3.7089], [-3.6874, 2.4649, -0.2624], [-3.9347, -1.7685, 1.0639]], "species": ["As", "Fe", "Ni", "Y"], "fractional_positions": [[0.0000, 0.0000, 0.0000], [0.7500, 0.7500, 0.7500], [0.2500, 0.2500, 0.2500], [0.5000, 0.5000, 0.5000]], "e_tot_ry_per_atom": -0.4705}

=====

[6]
{"formula": "FeAs4Os", "functional": "GGA-PBE", "state": "relaxed", "lattice_angstrom": [[-1.9237, 4.0381, -3.0050], [-2.7762, -0.9775, 0.4637], [-0.3990, 3.5053, 4.9998]], "species": ["As", "As", "As", "As", "Fe", "Os"], "fractional_positions": [[0.3166, 0.5000, 0.1306], [0.8334, 0.0000, 0.3565], [0.1666, 0.0000, 0.6435], [0.6834, 0.5000, 0.8694], [0.0000, 0.0000, 0.0000], [0.5000, 0.5000, 0.5000]], "e_tot_ry_per_atom": -0.4843}